DFT (GGA-PBE) results for a relaxed Rb2CdHg5 crystal.

Cell and atoms, written as extended XYZ:
```
16
Lattice="2.666 -9.685 0.000 2.666 9.685 0.000 0.000 0.000 10.773" Properties=species:S:1:pos:R:3 pbc="T T T"
Rb 0.000 0.000 0.000
Rb 0.000 0.000 5.386
Rb 2.666 5.699 8.080
Rb 2.666 -5.699 2.693
Cd 2.666 1.207 2.693
Cd 2.666 -1.207 8.080
Hg 2.666 5.970 1.164
Hg 2.666 5.970 4.223
Hg 2.666 2.894 0.230
Hg 2.666 2.894 5.157
Hg 2.666 1.783 8.080
Hg 2.666 -1.783 2.693
Hg 2.666 -2.894 5.616
Hg 2.666 -2.894 10.543
Hg 2.666 -5.970 6.550
Hg 2.666 -5.970 9.609
```

## Properties
- total energy (eV for the cell shown) = -11.7
- DOS(E_F) (states/eV/cell) = 6.00
- calculated formation energy (eV/atom) = -0.184
- space group = Cmcm, No. 63


DFT (GGA-PBE) results for a relaxed RbCdHg crystal.

Cell and atoms, written as extended XYZ:
```
12
Lattice="7.986 0.000 0.000 0.000 7.986 0.000 0.000 0.000 7.986" Properties=species:S:1:pos:R:3 pbc="T T T"
Rb 0.000 0.000 0.000
Rb 0.000 3.993 3.993
Rb 3.993 0.000 3.993
Rb 3.993 3.993 0.000
Cd 0.000 0.000 3.993
Cd 0.000 3.993 0.000
Cd 3.993 0.000 0.000
Cd 3.993 3.993 3.993
Hg 1.997 1.997 1.997
Hg 1.997 5.990 5.990
Hg 5.990 1.997 5.990
Hg 5.990 5.990 1.997
```

## Properties
- total energy (eV for the cell shown) = -9.1
- DOS(E_F) (states/eV/cell) = 9.15
- calculated formation energy (eV/atom) = -0.034
- space group = F-43m, No. 216


DFT (GGA-PBE) results for a relaxed Rb2Cd2Hg15 crystal.

Cell and atoms, written as extended XYZ:
```
19
Lattice="5.298 3.059 5.913 -5.298 3.059 5.913 0.000 -6.118 5.913" Properties=species:S:1:pos:R:3 pbc="T T T"
Rb 0.000 0.000 3.060
Rb 0.000 0.000 14.679
Cd 0.000 0.000 7.243
Cd 0.000 0.000 10.496
Hg -2.649 -1.530 5.913
Hg 0.000 -3.171 5.363
Hg -2.746 1.585 5.363
Hg -1.551 -2.687 8.869
Hg -3.103 0.000 8.869
Hg -2.746 -1.585 12.375
Hg -2.649 1.529 11.826
Hg 1.551 -2.687 8.869
Hg 0.000 3.059 5.913
Hg -1.551 2.687 8.869
Hg 2.746 1.585 5.363
Hg 3.103 0.000 8.869
Hg 1.551 2.687 8.869
Hg 2.746 -1.585 12.375
Hg 0.000 3.171 12.375
```

## Properties
- total energy (eV for the cell shown) = -10.1
- DOS(E_F) (states/eV/cell) = 7.58
- calculated formation energy (eV/atom) = -0.094
- space group = R-3m, No. 166


DFT (GGA-PBE) results for a relaxed RbCdHg3 crystal.

Cell and atoms, written as extended XYZ:
```
5
Lattice="6.907 0.000 0.000 0.000 6.907 0.000 0.000 0.000 6.907" Properties=species:S:1:pos:R:3 pbc="T T T"
Rb 0.000 0.000 0.000
Cd 3.453 3.453 3.453
Hg 0.000 0.000 3.453
Hg 0.000 3.453 0.000
Hg 3.453 0.000 0.000
```

## Properties
- total energy (eV for the cell shown) = -1.7
- DOS(E_F) (states/eV/cell) = 4.11
- calculated formation energy (eV/atom) = 0.222
- space group = Pm-3m, No. 221


DFT (GGA-PBE) results for a relaxed Rb3CdHg crystal.

Cell and atoms, written as extended XYZ:
```
10
Lattice="6.769 -5.788 0.000 6.769 5.788 0.000 -6.030 0.000 6.929" Properties=species:S:1:pos:R:3 pbc="T T T"
Rb -1.275 0.000 2.320
Rb 2.363 2.211 1.742
Rb 2.363 -2.211 1.742
Rb 5.145 2.211 5.187
Rb 5.145 -2.211 5.187
Rb 8.783 0.000 4.609
Cd 1.418 0.000 5.075
Cd 6.089 0.000 1.854
Hg -1.409 0.000 6.212
Hg 8.917 0.000 0.717
```

## Properties
- total energy (eV for the cell shown) = -8.9
- DOS(E_F) (states/eV/cell) = 5.66
- calculated formation energy (eV/atom) = -0.062
- space group = C2/m, No. 12


DFT (GGA-PBE) results for a relaxed Rb2Cd2Hg crystal.

Cell and atoms, written as extended XYZ:
```
10
Lattice="8.225 0.000 0.000 0.000 8.225 0.000 0.000 0.000 5.842" Properties=species:S:1:pos:R:3 pbc="T T T"
Rb 1.479 2.633 0.000
Rb 2.633 6.745 0.000
Rb 5.592 1.479 0.000
Rb 6.745 5.592 0.000
Cd 1.072 5.185 2.921
Cd 3.040 1.072 2.921
Cd 5.185 7.152 2.921
Cd 7.152 3.040 2.921
Hg 0.000 0.000 2.921
Hg 4.112 4.112 2.921
```

## Properties
- total energy (eV for the cell shown) = -8.7
- DOS(E_F) (states/eV/cell) = 6.68
- calculated formation energy (eV/atom) = -0.058
- space group = P4/mbm, No. 127